Run 1
Entry from Alexandria via LeMat-Bulk: a relaxed structure of SeIBr (GGA-PBE).

Cell: 5.2850 6.9958 8.6805 Å, 100.55 103.81 105.55°
Closest atoms and distances in Å follow each position.
Space group P1 (No. 1)
Unique sites:
Se  0.0000  0.0000  0.0000 (multiplicity 1)  1 Se 2.24
Se  0.0990  0.7073  0.9429 (multiplicity 1)  1 Se 2.24, 1 Br 2.42
I  0.4761  0.1861  0.3021 (multiplicity 1)  1 I 2.85, 1 Se 2.96
I  0.5012  0.5521  0.5222 (multiplicity 1)  1 Br 2.81, 1 I 2.85
Br  0.5325  0.9137  0.7405 (multiplicity 1)  1 Se 2.75, 1 I 2.81
Br  0.8467  0.4793  0.0740 (multiplicity 1)  1 Se 2.42

=====

Run 2
Entry from Alexandria via LeMat-Bulk: a relaxed structure of SeIBr (GGA-PBE).

Cell: 5.1042 7.3014 7.4697 Å, 107.81 90.83 93.61°
Closest atoms and distances in Å follow each position.
Space group P-1 (No. 2)
Unique sites:
Se  0.1813  0.4920  0.2473 (multiplicity 2)  1 Br 2.51, 1 I 2.62
I  0.1931  0.2635  0.4575 (multiplicity 2)  1 Se 2.62
Br  0.2230  0.7218  0.0563 (multiplicity 2)  1 Se 2.51

=====

Of them, run 1 has the highest stability.

=====

Run 1
Entry from Alexandria via LeMat-Bulk: a relaxed structure of SiSeIBr2 (GGA-PBE).

Cell: 4.9047 4.9047 5.6970 Å, 90.00 90.00 90.00°
Closest atoms and distances in Å follow each position.
Space group P4/mmm (No. 123)
Unique sites:
Si  0.0000  0.0000  0.0000 (multiplicity 1)  4 Br 2.45
Se  0.0000  0.0000  0.5000 (multiplicity 1)  2 Si 2.85
I  0.5000  0.5000  0.5000 (multiplicity 1)  4 Se 3.47, 8 Br 3.76
Br  0.0000  0.5000  0.0000 (multiplicity 2)  2 Si 2.45

=====

Run 2
Entry from Alexandria via LeMat-Bulk: a relaxed structure of SiSeIBr2 (GGA-PBE).

Cell: 5.7015 5.7015 5.4896 Å, 90.00 90.00 90.00°
Closest atoms and distances in Å follow each position.
Space group P4/mmm (No. 123)
Unique sites:
Si  0.0000  0.0000  0.0000 (multiplicity 1)  8 Br 3.96, 4 Se 4.03
Se  0.5000  0.5000  0.0000 (multiplicity 1)  2 I 2.74
I  0.5000  0.5000  0.5000 (multiplicity 1)  2 Se 2.74, 4 Br 2.85
Br  0.0000  0.5000  0.5000 (multiplicity 2)  2 I 2.85

=====

Of them, run 1 has the highest stability.

=====

Run 1
Entry from Alexandria via LeMat-Bulk: a relaxed structure of SrSeIBr2 (GGA-PBE).

Cell: 5.9085 5.9085 6.3650 Å, 90.00 90.00 90.00°
Closest atoms and distances in Å follow each position.
Space group P4/mmm (No. 123)
Unique sites:
Sr  0.0000  0.0000  0.0000 (multiplicity 1)  4 Br 2.95, 2 Se 3.18
Se  0.0000  0.0000  0.5000 (multiplicity 1)  2 Sr 3.18
I  0.5000  0.5000  0.5000 (multiplicity 1)  4 Se 4.18, 8 Br 4.34
Br  0.0000  0.5000  0.0000 (multiplicity 2)  2 Sr 2.95

=====

Run 2
Entry from Alexandria via LeMat-Bulk: a relaxed structure of SrSeIBr2 (GGA-PBE).

Cell: 5.6365 5.6365 5.9942 Å, 90.00 90.00 90.00°
Closest atoms and distances in Å follow each position.
Space group P4/mmm (No. 123)
Unique sites:
Sr  0.0000  0.0000  0.0000 (multiplicity 1)  4 Se 3.99, 8 Br 4.11
Se  0.5000  0.5000  0.0000 (multiplicity 1)  2 I 3.00
I  0.5000  0.5000  0.5000 (multiplicity 1)  4 Br 2.82, 2 Se 3.00
Br  0.0000  0.5000  0.5000 (multiplicity 2)  2 I 2.82

=====

Of them, run 1 has the highest stability.

=====

Run 1
Entry from Alexandria via LeMat-Bulk: a relaxed structure of TiSeIBr2 (GGA-PBE).

Cell: 5.0410 5.0410 5.2904 Å, 90.00 90.00 90.00°
Closest atoms and distances in Å follow each position.
Space group P4/mmm (No. 123)
Unique sites:
Ti  0.0000  0.0000  0.0000 (multiplicity 1)  4 Br 2.52, 2 Se 2.65
Se  0.0000  0.0000  0.5000 (multiplicity 1)  2 Ti 2.65
I  0.5000  0.5000  0.5000 (multiplicity 1)  4 Se 3.56, 8 Br 3.65
Br  0.0000  0.5000  0.0000 (multiplicity 2)  2 Ti 2.52

=====

Run 2
Entry from Alexandria via LeMat-Bulk: a relaxed structure of TiSeIBr2 (GGA-PBE).

Cell: 5.7072 5.7072 5.5308 Å, 90.00 90.00 90.00°
Closest atoms and distances in Å follow each position.
Space group P4/mmm (No. 123)
Unique sites:
Ti  0.0000  0.0000  0.0000 (multiplicity 1)  8 Br 3.97, 4 Se 4.04
Se  0.5000  0.5000  0.0000 (multiplicity 1)  2 I 2.77
I  0.5000  0.5000  0.5000 (multiplicity 1)  2 Se 2.77, 4 Br 2.85
Br  0.0000  0.5000  0.5000 (multiplicity 2)  2 I 2.85

=====

Of them, run 1 has the highest stability.